(1)
GGA-PBE AlOsPb2, relaxed; energy of formation from the pure elements = 83 kJ per mole of atoms; space group = No. 47
1.0
3.5176 0.0000 0.0000
0.0000 5.0430 0.0000
0.0000 0.0000 4.8267
Al Pb Os
1 2 1
Direct
0.5000 0.0000 0.5000
0.0000 0.0000 0.0000
0.5000 0.5000 0.0000
0.0000 0.5000 0.5000

***

(2)
GGA-PBE MnHPd5, relaxed; space group = No. 123; excess energy over the best structure of this formula in the dataset = 0 meV/atom
1.0
-3.6420 -1.1391 0.5257
1.2447 -3.4904 1.0598
0.2800 2.0128 6.3005
Pd Mn H
5 1 1
Direct
0.5000 0.0000 0.8000
0.0000 0.5000 0.8000
0.0000 0.5000 0.2000
0.5000 0.5000 0.5000
0.5000 0.0000 0.2000
0.0000 0.0000 0.5000
0.5000 0.5000 0.0000

***

(3)
GGA-PBE Tb3SmIr3, relaxed; energy of formation from the pure elements = -65 kJ per mole of atoms; space group = No. 166
1.0
5.6420 0.0214 -2.0037
-2.7980 4.8372 -1.9798
-0.0124 0.0214 5.9872
Sm Tb Ir
1 3 3
Direct
0.0000 0.5030 0.0000
0.0000 0.0035 0.4996
0.4996 0.0035 0.0000
0.5004 0.5039 0.5004
0.0000 0.5037 0.5001
0.4999 0.0036 0.4999
0.5001 0.5037 0.0000

***

(4)
GGA-PBE CsNdHgSe3, relaxed; ΔE_f (raw) = -7.5 eV per formula unit; space group = No. 11
1.0
4.4006 0.0000 0.0000
-2.1990 8.1800 0.0000
0.0000 0.0000 11.4003
Se Nd Hg Cs
6 2 2 2
Direct
0.3791 0.7579 0.5480
0.3791 0.7579 0.9520
0.6209 0.2421 0.0480
0.6209 0.2421 0.4520
0.0628 0.1257 0.7500
0.9372 0.8743 0.2500
0.0000 0.0000 0.0000
0.0000 0.0000 0.5000
0.4580 0.9162 0.7500
0.5420 0.0838 0.2500
0.2540 0.5100 0.2500
0.7460 0.4900 0.7500

***

(5)
GGA-PBE AgRhAu3, relaxed; energy of formation from the pure elements = 89 kJ per mole of atoms; space group = No. 221; excess energy over the best structure of this formula in the dataset = 0 meV/atom
1.0
-2.2267 -1.2292 4.3203
2.6105 -4.2782 0.1282
3.6553 2.3065 2.5402
Rh Au Ag
1 3 1
Direct
0.0000 0.0000 0.0000
0.5000 0.0000 0.0000
0.0000 0.0000 0.5000
0.0000 0.5000 0.0000
0.5000 0.5000 0.5000

***

(6)
GGA-PBE H2Pd5Pb4, relaxed; space group = No. 72; calculated total energy = -4.396 eV per atom
1.0
-2.5390 0.7321 -4.6815
-6.4118 -7.5123 2.3026
-0.0631 8.2512 4.4112
Pb Pd H
8 10 4
Direct
0.5694 0.3376 0.1388
0.6672 0.0625 0.3344
0.9306 0.1989 0.8612
0.8328 0.7281 0.6656
0.3328 0.9375 0.6656
0.1672 0.2719 0.3344
0.4306 0.6624 0.8612
0.0694 0.8011 0.1388
0.7592 0.9168 0.5184
0.0881 0.5340 0.1762
0.4119 0.3578 0.8238
0.7408 0.3983 0.4816
0.2408 0.0832 0.4816
0.5881 0.6422 0.1762
0.2500 0.0000 0.0000
0.7500 0.0000 0.0000
0.9119 0.4660 0.8238
0.2592 0.6017 0.5184
0.9058 0.6558 0.3116
0.4058 0.6558 0.3116
0.5942 0.3442 0.6884
0.0942 0.3442 0.6884

***

(7)
GGA-PBE Hf2Ga7Cu12, relaxed; energy of formation from the pure elements = -14 kJ per mole of atoms; space group = No. 147
1.0
-2.1127 1.7355 -0.9579
-0.8294 -6.0024 -9.0462
-5.9972 -2.4744 8.7442
Hf Cu Ga
2 12 7
Direct
0.2469 0.3333 0.6667
0.7531 0.6667 0.3333
0.2486 0.9214 0.5396
0.7589 0.9263 0.7567
0.7589 0.2433 0.1696
0.7589 0.8304 0.0737
0.2411 0.7567 0.8304
0.2486 0.4604 0.3818
0.7514 0.5396 0.6182
0.2486 0.6182 0.0786
0.7514 0.0786 0.4604
0.7514 0.3818 0.9214
0.2411 0.1696 0.9263
0.2411 0.0737 0.2433
0.5000 0.0000 0.0000
0.7471 0.1331 0.7149
0.7471 0.5818 0.8669
0.2529 0.8669 0.2851
0.2529 0.4182 0.1331
0.2529 0.7149 0.5818
0.7471 0.2851 0.4182

***

(8)
GGA-PBE Gd2RhF, relaxed; ΔE_f (raw) = -6.4 eV per formula unit; space group = No. 166
1.0
3.9492 0.0000 0.0000
1.9746 3.4201 0.0000
1.9746 1.1400 6.3433
Gd F Rh
2 1 1
Direct
0.7503 0.7503 0.7492
0.2497 0.2497 0.2508
0.0000 0.0000 0.0000
0.5000 0.5000 0.5000

***

no.,calculated volume (A^3/atom)
1,21.41
2,14.04
3,23.43
4,34.20
5,25.20
6,18.31
7,14.16
8,21.42